A plane-wave DFT calculation with GGA-PBE was carried out for an optimized crystal structure of NiMoRu2.

The structure in POSCAR format:
```
NiMoRu2
1.0
3.798 0.000 0.000
0.000 2.706 0.016
0.000 2.681 5.354
Ni Ru Mo
1 2 1
Direct
0.500 0.746 0.754
0.000 0.006 0.994
0.500 0.259 0.241
0.000 0.490 0.512
```

Summary:
DOS at the Fermi energy   1.16 states/eV/atom
Theoretical density   10.8 Mg/m³
E above lowest polymorph   63 meV/atom
ΔE_f   0.194 eV/f.u.